Compound: Cu2PbW
Source: Alexandria via LeMat-Bulk
Functional: PBE-GGA
Structure: relaxed

POSCAR file:
```
Cu2PbW
1.0
-3.574 3.574 2.776
3.574 -3.574 2.776
3.574 3.574 -2.776
Cu Pb W
4 2 2
direct
0.110 0.625 0.985
0.375 0.360 0.485
0.640 0.125 0.015
0.875 0.890 0.515
0.250 0.750 0.500
0.500 0.500 0.000
0.000 0.000 0.000
0.750 0.250 0.500
```

Calculated values
Spin magnetization ... 0.00 μB/cell
DFT total energy ... -5.30 eV/atom